Entry 1:
Below is a geometry-optimized DyLu2Bi structure, with properties calculated at the PBE-GGA level.

The formation energy comes out at -0.2958 eV per atom. Its symmetry is P4/mmm, No. 123. The calculation puts the polymorph energy (0 for the lowest one) at 0 meV per atom.

Cell: 3.9744 3.9744 7.3268 Å, 90.00 90.00 90.00°
Fractional coordinates of all 4 atoms:
1 Dy 0.0000 0.0000 0.0000
2 Lu 0.5000 0.5000 0.2665
3 Lu 0.5000 0.5000 0.7335
4 Bi 0.0000 0.0000 0.5000



Entry 2:
Below is a geometry-optimized In2CoPdBr structure, with properties calculated at the PBE-GGA level.

As for the uncorrected formation energy: 0.2145 eV/atom. Its symmetry is P4/mmm, No. 123.

Cell: 5.0833 5.0833 4.6959 Å, 90.00 90.00 90.00°
Fractional coordinates of all 5 atoms:
1 In 0.0000 0.5000 0.0000
2 In 0.5000 0.0000 0.0000
3 Co 0.0000 0.0000 0.0000
4 Pd 0.0000 0.0000 0.5000
5 Br 0.5000 0.5000 0.5000



Entry 3:
Below is a geometry-optimized TiP3Os structure, with properties calculated at the PBE-GGA level.

The formation energy comes out at 0.7899 eV per atom. Its symmetry is Pm-3m, No. 221. The calculation puts the polymorph energy (0 for the lowest one) at 0 meV per atom.

Cell: 4.5917 4.5917 4.5917 Å, 90.00 90.00 90.00°
Fractional coordinates of all 5 atoms:
1 Ti 0.0000 0.0000 0.0000
2 P 0.0000 0.5000 0.5000
3 P 0.5000 0.0000 0.5000
4 P 0.5000 0.5000 0.0000
5 Os 0.5000 0.5000 0.5000



Entry 4:
Below is a geometry-optimized Pa3ZnGa2 structure, with properties calculated at the PBE-GGA level.

The formation energy comes out at -0.1219 eV per atom. Its symmetry is Cmcm, No. 63.

Cell: 6.9666 6.9666 5.3551 Å, 90.00 90.00 102.00°
Fractional coordinates of all 12 atoms:
1 Pa 0.0669 0.6068 0.2500
2 Pa 0.0747 0.9253 0.7500
3 Pa 0.3932 0.9331 0.2500
4 Pa 0.6068 0.0669 0.7500
5 Pa 0.9253 0.0747 0.2500
6 Pa 0.9331 0.3932 0.7500
7 Zn 0.3490 0.6510 0.7500
8 Zn 0.6510 0.3490 0.2500
9 Ga 0.3093 0.3093 0.0000
10 Ga 0.3093 0.3093 0.5000
11 Ga 0.6907 0.6907 0.0000
12 Ga 0.6907 0.6907 0.5000



Entry 5:
Below is a geometry-optimized LiInMoN2 structure, with properties calculated at the PBE-GGA level.

As for the uncorrected formation energy: 0.5283 eV/atom. Its symmetry is P4/mmm, No. 123.

Cell: 3.9694 3.9694 5.1644 Å, 90.00 90.00 90.00°
Fractional coordinates of all 5 atoms:
1 Li 0.0000 0.0000 0.0000
2 In 0.5000 0.5000 0.0000
3 Mo 0.0000 0.0000 0.5000
4 N 0.0000 0.5000 0.5000
5 N 0.5000 0.0000 0.5000



Entry 6:
Below is a geometry-optimized TlSn2Hg structure, with properties calculated at the PBE-GGA level.

The formation energy comes out at 0.0149 eV per atom. Its symmetry is P2_1/m, No. 11. The calculation puts the polymorph energy (0 for the lowest one) at 0 meV per atom.

Cell: 4.3007 5.0183 10.6065 Å, 90.00 90.89 90.00°
Fractional coordinates of all 8 atoms:
1 Tl 0.0031 0.2500 0.1289
2 Tl 0.9969 0.7500 0.8711
3 Sn 0.0021 0.2500 0.6187
4 Sn 0.4966 0.7500 0.6088
5 Sn 0.5034 0.2500 0.3912
6 Sn 0.9979 0.7500 0.3813
7 Hg 0.4973 0.2500 0.8678
8 Hg 0.5027 0.7500 0.1322



Entry 7:
Below is a geometry-optimized Ce2Tm structure, with properties calculated at the PBE-GGA level.

The formation energy comes out at 0.2125 eV per atom. Its symmetry is Fd-3m, No. 227. The calculation puts the polymorph energy (0 for the lowest one) at 140 meV per atom.

Cell: 6.2784 6.2784 6.2784 Å, 60.00 60.00 60.00°
Fractional coordinates of all 6 atoms:
1 Ce 0.0000 0.0000 0.0000
2 Ce 0.0000 0.0000 0.5000
3 Ce 0.0000 0.5000 0.0000
4 Ce 0.5000 0.0000 0.0000
5 Tm 0.3750 0.3750 0.3750
6 Tm 0.6250 0.6250 0.6250



Entry 8:
Below is a geometry-optimized TmNi2Sn structure, with properties calculated at the PBE-GGA level.

The formation energy comes out at -0.2972 eV per atom. Its symmetry is P4/mmm, No. 123.

Cell: 3.3561 3.3561 6.1780 Å, 90.00 90.00 90.00°
Fractional coordinates of all 4 atoms:
1 Tm 0.0000 0.0000 0.0000
2 Ni 0.5000 0.5000 0.2652
3 Ni 0.5000 0.5000 0.7348
4 Sn 0.0000 0.0000 0.5000



Entry 9:
Below is a geometry-optimized AlCu structure, with properties calculated at the PBE-GGA level.

The formation energy comes out at 0.5069 eV per atom. Its symmetry is I-43m, No. 217.

Cell: 7.3479 7.3479 7.3479 Å, 90.00 90.00 90.00°
Fractional coordinates of all 16 atoms:
1 Al 0.1996 0.1996 0.1996
2 Al 0.1996 0.8004 0.8004
3 Al 0.3004 0.3004 0.6996
4 Al 0.3004 0.6996 0.3004
5 Al 0.6996 0.3004 0.3004
6 Al 0.6996 0.6996 0.6996
7 Al 0.8004 0.1996 0.8004
8 Al 0.8004 0.8004 0.1996
9 Cu 0.1194 0.1194 0.8806
10 Cu 0.1194 0.8806 0.1194
11 Cu 0.3806 0.3806 0.3806
12 Cu 0.3806 0.6194 0.6194
13 Cu 0.6194 0.3806 0.6194
14 Cu 0.6194 0.6194 0.3806
15 Cu 0.8806 0.1194 0.1194
16 Cu 0.8806 0.8806 0.8806



Entry 10:
Below is a geometry-optimized NaTm2NpSe4 structure, with properties calculated at the PBE-GGA level.

As for the uncorrected formation energy: -1.4999 eV/atom. Its symmetry is P2/m, No. 10.

Cell: 7.0929 4.0482 7.1248 Å, 90.00 109.08 90.00°
Fractional coordinates of all 8 atoms:
1 Na 0.0000 0.0000 0.0000
2 Tm 0.0000 0.5000 0.5000
3 Tm 0.5000 0.0000 0.5000
4 Np 0.5000 0.5000 0.0000
5 Se 0.2460 0.0000 0.7415
6 Se 0.2535 0.5000 0.2620
7 Se 0.7465 0.5000 0.7380
8 Se 0.7540 0.0000 0.2585



Entry 11:
Below is a geometry-optimized TaSi2Ir structure, with properties calculated at the PBE-GGA level.

As for the uncorrected formation energy: -0.4655 eV/atom. Its symmetry is Pmmm, No. 47.

Cell: 2.9145 3.8802 5.2993 Å, 90.00 90.00 90.00°
Fractional coordinates of all 4 atoms:
1 Ta 0.0000 0.0000 0.0000
2 Si 0.5000 0.5000 0.2379
3 Si 0.5000 0.5000 0.7621
4 Ir 0.5000 0.0000 0.5000



Entry 12:
Below is a geometry-optimized RbAg3Se structure, with properties calculated at the PBE-GGA level.

As for the uncorrected formation energy: 0.1268 eV/atom. Its symmetry is Pm-3m, No. 221.

Cell: 5.3427 5.3427 5.3427 Å, 90.00 90.00 90.00°
Fractional coordinates of all 5 atoms:
1 Rb 0.0000 0.0000 0.0000
2 Ag 0.0000 0.5000 0.5000
3 Ag 0.5000 0.0000 0.5000
4 Ag 0.5000 0.5000 0.0000
5 Se 0.5000 0.5000 0.5000



| no. | energy (eV per atom) |
| --- | --- |
| 1 | -4.677 |
| 2 | -3.675 |
| 3 | -6.281 |
| 4 | -6.091 |
| 5 | -5.899 |
| 6 | -2.654 |
| 7 | -5.234 |
| 8 | -5.306 |
| 9 | -3.412 |
| 10 | -6.142 |
| 11 | -8.355 |
| 12 | -2.474 |